Record 1
GaCoCuAg: optimized geometry, PBE-GGA.

abc: 4.2610 4.2610 4.2610
angles: 60.00 60.00 60.00
Positions (direct):
Ag1 0.5000 0.5000 0.5000
Ga1 0.0000 0.0000 0.0000
Co1 0.7500 0.7500 0.7500
Cu1 0.2500 0.2500 0.2500

## Properties
**Energy relative to the lowest polymorph listed for this composition**: 0 kJ/mol of formula units
**Crystal system**: cubic
**Total magnetic moment**: 0.60 Bohr magnetons per cell



Record 2
Cu2Ag3: optimized geometry, PBE-GGA.

abc: 6.0867 6.0867 9.3507
angles: 100.11 100.11 27.16
Positions (direct):
Ag1 0.8047 0.8047 0.4011
Ag2 0.3088 0.3088 0.8939
Cu1 0.5000 0.5000 0.5000
Ag3 0.1953 0.1953 0.5989
Ag4 0.6912 0.6912 0.1061
Cu2 0.0000 0.0000 0.0000
Ag5 0.5867 0.5867 0.8015
Cu3 0.0997 0.0997 0.3132
Ag6 0.4133 0.4133 0.1985
Cu4 0.9003 0.9003 0.6868

## Properties
**Energy relative to the lowest polymorph listed for this composition**: 24 kJ/mol of formula units
**Crystal system**: monoclinic
**Energy of formation from the pure elements**: 1.90 kcal/mol of atoms



Record 3
FeSiOsPd: optimized geometry, PBE-GGA.

abc: 4.2361 4.2361 4.2361
angles: 60.00 60.00 60.00
Positions (direct):
Os1 0.2500 0.2500 0.2500
Si1 0.0000 0.0000 0.0000
Pd1 0.5000 0.5000 0.5000
Fe1 0.7500 0.7500 0.7500

## Properties
**Energy relative to the lowest polymorph listed for this composition**: 0 kJ/mol of formula units
**Crystal system**: cubic
**Total magnetic moment**: 2.43 Bohr magnetons per cell



Record 4
SmIrPb2O6: optimized geometry, PBE-GGA.

abc: 5.8076 5.8076 5.9620
angles: 119.48 119.48 60.55
Positions (direct):
Ir1 0.5000 0.5000 0.5000
Pb1 0.7541 0.7541 0.2773
O1 0.6799 0.2078 0.6715
Sm1 0.0000 0.0000 0.0000
O2 0.7922 0.3201 0.3285
O3 0.7273 0.7273 0.8164
O4 0.2078 0.6799 0.6715
O5 0.2727 0.2727 0.1836
Pb2 0.2459 0.2459 0.7227
O6 0.3201 0.7922 0.3285

## Properties
**Crystal system**: monoclinic
**Total magnetic moment**: 1.04 Bohr magnetons per cell
**VASP energy**: -6.598 eV per atom



Record 5
Lu3SbSe2: optimized geometry, PBE-GGA.

abc: 4.1127 4.1127 9.9101
angles: 90.00 90.00 120.00
Positions (direct):
Lu1 0.0000 0.0000 0.0000
Lu2 0.6667 0.3333 0.3186
Se1 0.6667 0.3333 0.8422
Sb1 0.0000 0.0000 0.5000
Lu3 0.3333 0.6667 0.6815
Se2 0.3333 0.6667 0.1578

## Properties
**Crystal system**: trigonal
**Total magnetic moment**: 0.00 Bohr magnetons per cell
**VASP energy**: -5.509 eV per atom



Record 6
CdTcAsO: optimized geometry, PBE-GGA.

abc: 3.1306 7.1778 5.8322
angles: 90.00 90.00 90.00
Positions (direct):
O1 0.5000 0.7963 0.3695
As1 0.0000 0.1913 0.3687
Tc1 0.5000 0.0022 0.6188
Cd1 0.0000 0.5695 0.3970
Cd2 0.0000 0.4305 0.8970
As2 0.0000 0.8087 0.8687
O2 0.5000 0.2037 0.8695
Tc2 0.5000 0.9978 0.1188

## Properties
**Energy relative to the lowest polymorph listed for this composition**: 0 kJ/mol of formula units
**Crystal system**: orthorhombic
**Total magnetic moment**: 0.01 Bohr magnetons per cell



Record 7
TaInAuSe2S: optimized geometry, PBE-GGA.

abc: 7.7157 7.7157 9.9484
angles: 90.00 90.00 153.01
Positions (direct):
Se1 0.8700 0.1300 0.9794
In1 0.2399 0.7601 0.7500
Se2 0.1300 0.8700 0.4794
S1 0.5651 0.4349 0.7500
Se3 0.8700 0.1300 0.5206
Au1 0.0593 0.9407 0.2500
Ta1 0.5000 0.5000 0.5000
Se4 0.1300 0.8700 0.0206
Au2 0.9407 0.0593 0.7500
Ta2 0.5000 0.5000 0.0000
In2 0.7601 0.2399 0.2500
S2 0.4349 0.5651 0.2500

## Properties
**Crystal system**: orthorhombic
**Total magnetic moment**: 0.02 Bohr magnetons per cell
**VASP energy**: -5.129 eV per atom



Record 8
Pr3GdAl4: optimized geometry, PBE-GGA.

abc: 6.0048 5.7295 6.0191
angles: 90.00 100.93 90.00
Positions (direct):
Pr1 0.9795 0.5000 0.3403
Pr2 0.3368 0.5000 0.9779
Al1 0.1933 0.0000 0.1963
Gd1 0.0240 0.0000 0.6607
Al2 0.5000 0.7510 0.5016
Al3 0.5000 0.2490 0.5016
Pr3 0.6608 0.0000 0.0196
Al4 0.8056 0.5000 0.8019

## Properties
**Crystal system**: monoclinic
**Total magnetic moment**: 0.02 Bohr magnetons per cell
**VASP energy**: -4.636 eV per atom



Record 9
Zr2ZnTe: optimized geometry, PBE-GGA.

abc: 4.9778 4.9778 4.9778
angles: 60.00 60.00 60.00
Positions (direct):
Zr1 0.7500 0.7500 0.7500
Te1 0.5000 0.5000 0.5000
Zn1 0.2500 0.2500 0.2500
Zr2 0.0000 0.0000 0.0000

## Properties
**Crystal system**: cubic
**Total magnetic moment**: 1.93 Bohr magnetons per cell
**VASP energy**: -5.232 eV per atom



Record 10
Tc2Sn2Ge: optimized geometry, PBE-GGA.

abc: 3.9226 3.9226 7.0467
angles: 106.16 106.16 90.00
Positions (direct):
Ge1 0.0000 0.0000 0.0000
Tc1 0.4009 0.4009 0.8019
Sn1 0.2500 0.7500 0.5000
Sn2 0.7500 0.2500 0.5000
Tc2 0.5991 0.5991 0.1981

## Properties
**Crystal system**: tetragonal
**Total magnetic moment**: 0.95 Bohr magnetons per cell
**VASP energy**: -6.064 eV per atom



Record 11
KGdO2: optimized geometry, PBE-GGA.

abc: 6.4796 6.4796 6.4796
angles: 31.22 31.22 31.22
Positions (direct):
Gd1 0.5000 0.5000 0.5000
O1 0.2301 0.2301 0.2301
K1 0.0000 0.0000 0.0000
O2 0.7699 0.7699 0.7699

## Properties
**Crystal system**: trigonal
**Total magnetic moment**: 0.00 Bohr magnetons per cell
**VASP energy**: -6.637 eV per atom



Record 12
Hg3SO6: optimized geometry, PBE-GGA.

abc: 7.0193 7.1770 7.3980
angles: 72.58 66.18 61.24
Positions (direct):
Hg1 0.1586 0.3668 0.7706
O1 0.7062 0.3070 0.4130
O2 0.8152 0.9320 0.3962
S1 0.8047 0.1446 0.2777
O3 0.6559 0.2173 0.1493
O4 0.4565 0.2058 0.8497
Hg2 0.3357 0.1220 0.2355
O5 0.2938 0.6930 0.5870
Hg3 0.3355 0.6314 0.2318
O6 0.9625 0.8786 0.8570
Hg4 0.8414 0.6332 0.2294
O7 0.1463 0.4598 0.2909
S2 0.1953 0.8554 0.7223
Hg5 0.6643 0.8779 0.7645
O8 0.5435 0.7942 0.1503
O9 0.8537 0.5402 0.7091
O10 0.1848 0.0680 0.6038
O11 0.3441 0.7827 0.8507
O12 0.0375 0.1214 0.1430
Hg6 0.6645 0.3686 0.7682

## Properties
**Energy relative to the lowest polymorph listed for this composition**: 9 kJ/mol of formula units
**Crystal system**: triclinic



Record 13
NaHfAlPd: optimized geometry, PBE-GGA.

abc: 4.7118 4.7118 4.7118
angles: 60.00 60.00 60.00
Positions (direct):
Na1 0.7500 0.7500 0.7500
Pd1 0.5000 0.5000 0.5000
Hf1 0.2500 0.2500 0.2500
Al1 0.0000 0.0000 0.0000

## Properties
**Energy relative to the lowest polymorph listed for this composition**: 48 kJ/mol of formula units
**Crystal system**: cubic
**Total magnetic moment**: 0.00 Bohr magnetons per cell



Record 14
LaErAg2Pb2: optimized geometry, PBE-GGA.

abc: 4.8643 4.8643 7.6284
angles: 90.00 90.00 120.00
Positions (direct):
Ag1 0.6667 0.3333 0.1682
Ag2 0.3333 0.6667 0.7026
Er1 0.0000 0.0000 0.9901
La1 0.0000 0.0000 0.4873
Pb1 0.3333 0.6667 0.2620
Pb2 0.6667 0.3333 0.7757

## Properties
**Crystal system**: trigonal
**Total magnetic moment**: 0.01 Bohr magnetons per cell
**VASP energy**: -4.201 eV per atom



Record 15
ZrZnCuB: optimized geometry, PBE-GGA.

abc: 4.2758 4.2758 4.2758
angles: 60.00 60.00 60.00
Positions (direct):
Cu1 0.7500 0.7500 0.7500
B1 0.0000 0.0000 0.0000
Zn1 0.2500 0.2500 0.2500
Zr1 0.5000 0.5000 0.5000

## Properties
**Energy relative to the lowest polymorph listed for this composition**: 114 kJ/mol of formula units
**Crystal system**: cubic
**Total magnetic moment**: 0.00 Bohr magnetons per cell



Record 16
La2Fe3W2: optimized geometry, PBE-GGA.

abc: 7.9455 7.9455 7.9455
angles: 33.34 33.34 33.34
Positions (direct):
Fe1 0.6380 0.6380 0.6380
La1 0.2169 0.2169 0.2169
Fe2 0.3463 0.3463 0.3463
W1 0.5305 0.5305 0.5305
La2 0.7615 0.7615 0.7615
W2 0.9913 0.9913 0.9913
Fe3 0.8905 0.8905 0.8905

## Properties
**Crystal system**: trigonal
**Energy of formation from the pure elements**: 15.29 kcal/mol of atoms
**Total magnetic moment**: 2.84 Bohr magnetons per cell



Record 17
La2PrMg2Si4Au2: optimized geometry, PBE-GGA.

abc: 13.4774 13.4774 13.4774
angles: 161.55 161.39 26.32
Positions (direct):
La1 0.6400 0.1400 0.5000
Mg1 0.7500 0.7500 0.0000
Si1 0.4547 0.4547 0.0000
Si2 0.1865 0.6865 0.5000
Pr1 0.0000 0.0000 0.0000
Si3 0.8135 0.3135 0.5000
Au1 0.0908 0.5908 0.5000
Si4 0.5453 0.5453 0.0000
Au2 0.9092 0.4092 0.5000
La2 0.3600 0.8600 0.5000
Mg2 0.2500 0.2500 0.0000

## Properties
**Crystal system**: orthorhombic
**Total magnetic moment**: 0.02 Bohr magnetons per cell
**VASP energy**: -4.872 eV per atom



Record 18
Cu7Ag3: optimized geometry, PBE-GGA.

abc: 2.7420 3.5781 13.8728
angles: 90.00 90.00 90.00
Positions (direct):
Ag1 0.5000 0.5000 0.0000
Cu1 0.0000 0.0000 0.3197
Cu2 0.0000 0.0000 0.1061
Ag2 0.5000 0.5000 0.2122
Cu3 0.0000 0.0000 0.5000
Ag3 0.5000 0.5000 0.7878
Cu4 0.0000 0.0000 0.8939
Cu5 0.5000 0.5000 0.5908
Cu6 0.5000 0.5000 0.4092
Cu7 0.0000 0.0000 0.6803

## Properties
**Energy relative to the lowest polymorph listed for this composition**: 35 kJ/mol of formula units
**Crystal system**: orthorhombic
**Energy of formation from the pure elements**: 1.87 kcal/mol of atoms



Record 19
SmGaCo: optimized geometry, PBE-GGA.

abc: 4.4332 4.4332 4.4332
angles: 60.00 60.00 60.00
Positions (direct):
Sm1 0.7500 0.7500 0.7500
Ga1 0.2500 0.2500 0.2500
Co1 0.0000 0.0000 0.0000

## Properties
**Crystal system**: cubic
**Total magnetic moment**: 0.00 Bohr magnetons per cell
**VASP energy**: -5.139 eV per atom



Record 20
Dy2ErTmTl2: optimized geometry, PBE-GGA.

abc: 5.3556 5.3556 6.6787
angles: 90.00 90.00 120.00
Positions (direct):
Tl1 0.6667 0.3333 0.5000
Er1 0.0000 0.0000 0.5000
Tm1 0.6667 0.3333 0.0000
Dy1 0.3333 0.6667 0.2496
Tl2 0.0000 0.0000 0.0000
Dy2 0.3333 0.6667 0.7504

## Properties
**Crystal system**: hexagonal
**Total magnetic moment**: 0.87 Bohr magnetons per cell
**VASP energy**: -4.081 eV per atom



Record 21
DyICl2: optimized geometry, PBE-GGA.

abc: 7.3409 7.3409 7.1745
angles: 97.90 97.90 123.69
Positions (direct):
Cl1 0.5579 0.9393 0.2152
I1 0.2279 0.2279 0.2642
Cl2 0.0607 0.4421 0.7848
Dy1 0.1709 0.8291 0.0000
Cl3 0.9393 0.5579 0.2152
Cl4 0.4421 0.0607 0.7848
I2 0.7721 0.7721 0.7358
Dy2 0.8291 0.1709 0.0000

## Properties
**Crystal system**: monoclinic
**Total magnetic moment**: 0.00 Bohr magnetons per cell
**VASP energy**: -4.453 eV per atom



Record 22
BaNaPt: optimized geometry, PBE-GGA.

abc: 5.1889 5.1889 5.1889
angles: 60.00 60.00 60.00
Positions (direct):
Ba1 0.2500 0.2500 0.2500
Pt1 0.0000 0.0000 0.0000
Na1 0.7500 0.7500 0.7500

## Properties
**Energy relative to the lowest polymorph listed for this composition**: 0 kJ/mol of formula units
**Crystal system**: cubic
**Total magnetic moment**: 0.38 Bohr magnetons per cell



Record 23
HoBi: optimized geometry, PBE-GGA.

abc: 3.8524 3.8524 3.8524
angles: 90.00 90.00 90.00
Positions (direct):
Ho1 0.5000 0.5000 0.5000
Bi1 0.0000 0.0000 0.0000

## Properties
**Crystal system**: cubic
**Total magnetic moment**: 0.00 Bohr magnetons per cell
**VASP energy**: -4.889 eV per atom



Record 24
BeCu2Sn: optimized geometry, PBE-GGA.

abc: 6.0840 6.0840 6.0840
angles: 90.00 90.00 90.00
Positions (direct):
Cu1 0.7878 0.2122 0.2122
Sn1 0.5000 0.5000 0.5000
Be1 0.5000 0.0000 0.0000
Cu2 0.7878 0.7878 0.2122
Be2 0.0000 0.5000 0.0000
Sn2 0.5000 0.0000 0.5000
Sn3 0.5000 0.5000 0.0000
Sn4 0.0000 0.5000 0.5000
Be3 0.0000 0.0000 0.5000
Cu3 0.2122 0.7878 0.2122
Cu4 0.2122 0.2122 0.2122
Cu5 0.2122 0.7878 0.7878
Be4 0.0000 0.0000 0.0000
Cu6 0.2122 0.2122 0.7878
Cu7 0.7878 0.7878 0.7878
Cu8 0.7878 0.2122 0.7878

## Properties
**Energy relative to the lowest polymorph listed for this composition**: 0 kJ/mol of formula units
**Crystal system**: cubic



Record 25
TaCoMoPb: optimized geometry, PBE-GGA.

abc: 4.5635 4.5635 4.5635
angles: 60.00 60.00 60.00
Positions (direct):
Pb1 0.0000 0.0000 0.0000
Ta1 0.5000 0.5000 0.5000
Mo1 0.2500 0.2500 0.2500
Co1 0.7500 0.7500 0.7500

## Properties
**Energy relative to the lowest polymorph listed for this composition**: 0 kJ/mol of formula units
**Crystal system**: cubic
**Total magnetic moment**: 0.02 Bohr magnetons per cell



Record 26
KTbGdCu2: optimized geometry, PBE-GGA.

abc: 3.7886 8.9630 8.9630
angles: 27.98 90.00 90.00
Positions (direct):
K1 0.5000 0.0004 0.0004
Cu1 0.5000 0.2066 0.2066
Tb1 0.0000 0.6694 0.6694
Gd1 0.0000 0.3309 0.3309
Cu2 0.5000 0.7927 0.7927

## Properties
**Crystal system**: orthorhombic
**Total magnetic moment**: 0.01 Bohr magnetons per cell
**VASP energy**: -3.568 eV per atom